Record 1
Computed, not measured: crystalline DyMgSi4 at its relaxed geometry at the GGA-PBE level of DFT.

Lattice parameters (Å, degrees): 5.257 5.257 5.257 60.00 60.00 60.00
Fractional coordinates of all 6 atoms:
Si (0.627, 0.627, 0.120)
Si (0.627, 0.120, 0.627)
Si (0.627, 0.627, 0.627)
Si (0.120, 0.627, 0.627)
Mg (0.000, 0.000, 0.000)
Dy (0.250, 0.250, 0.250)

Summary:
symmetry: F-43m
E: -4.827 eV per atom

***

Record 2
Computed, not measured: crystalline DyMgSi at its relaxed geometry at the GGA-PBE level of DFT.

Lattice parameters (Å, degrees): 4.651 4.651 4.651 60.00 60.00 60.00
Fractional coordinates of all 3 atoms:
Si (0.250, 0.250, 0.250)
Mg (0.500, 0.500, 0.500)
Dy (0.000, 0.000, 0.000)

Summary:
symmetry: F-43m
E: -4.257 eV per atom

***

Record 3
Computed, not measured: crystalline Dy2MgSi2 at its relaxed geometry at the GGA-PBE level of DFT.

Lattice parameters (Å, degrees): 7.172 7.172 4.209 90.00 90.00 90.00
Fractional coordinates of all 10 atoms:
Dy (0.822, 0.678, 0.500)
Dy (0.178, 0.322, 0.500)
Dy (0.322, 0.822, 0.500)
Dy (0.678, 0.178, 0.500)
Mg (0.000, 0.000, 0.000)
Mg (0.500, 0.500, 0.000)
Si (0.882, 0.382, 0.000)
Si (0.118, 0.618, 0.000)
Si (0.382, 0.118, 0.000)
Si (0.618, 0.882, 0.000)

Summary:
symmetry: P4/mbm
E: -5.049 eV per atom

***

Record 4
Computed, not measured: crystalline SmDyMgSi at its relaxed geometry at the GGA-PBE level of DFT.

Lattice parameters (Å, degrees): 5.135 5.135 5.135 60.00 60.00 60.00
Fractional coordinates of all 4 atoms:
Si (0.750, 0.750, 0.750)
Mg (0.250, 0.250, 0.250)
Sm (0.500, 0.500, 0.500)
Dy (0.000, 0.000, 0.000)

Summary:
symmetry: F-43m
E: -4.368 eV per atom

***

Q: Which value of E does entry 2 give?
A: -4.257 eV per atom

***

Q: Look up the E of the second one.
A: -4.257 eV per atom

***

Q: E of number 2 (DyMgSi)?
A: -4.257 eV per atom